1.
A plane-wave DFT calculation with meta-GGA SCAN was carried out for HfSc2SnOs at its PBEsol-relaxed geometry.

Cell lengths 5.003, 5.003, 5.145 Å; angles 90.00, 90.00, 90.00 degrees
Atoms (fractional coordinates):
Hf1 0.000 0.000 0.000
Sc1 0.000 0.500 0.500
Sc2 0.500 0.000 0.500
Sn1 0.000 0.000 0.500
Os1 0.500 0.500 0.000

Summary:
The calculation puts the formation energy at 1.33 eV per atom. As for the crystal system: tetragonal.

2.
A plane-wave DFT calculation with meta-GGA SCAN was carried out for HfOs3Se at its PBEsol-relaxed geometry.

Cell lengths 4.747, 4.747, 4.747 Å; angles 90.00, 90.00, 90.00 degrees
Atoms (fractional coordinates):
Hf1 0.000 0.000 0.000
Os1 0.000 0.000 0.500
Os2 0.000 0.500 0.000
Os3 0.500 0.000 0.000
Se1 0.500 0.500 0.500

Summary:
Its energy is -57.061 eV/atom. As for the crystal system: cubic.

3.
A plane-wave DFT calculation with meta-GGA SCAN was carried out for HfSiOs3 at its PBEsol-relaxed geometry.

Cell lengths 4.729, 4.729, 4.729 Å; angles 90.00, 90.00, 90.00 degrees
Atoms (fractional coordinates):
Hf1 0.000 0.000 0.000
Si1 0.500 0.500 0.500
Os1 0.000 0.000 0.500
Os2 0.000 0.500 0.000
Os3 0.500 0.000 0.000

Summary:
Its energy is -54.987 eV/atom. As for the crystal system: cubic.

4.
A plane-wave DFT calculation with meta-GGA SCAN was carried out for HfTaSn2Os at its PBEsol-relaxed geometry.

Cell lengths 5.130, 5.130, 4.711 Å; angles 90.00, 90.00, 90.00 degrees
Atoms (fractional coordinates):
Hf1 0.000 0.000 0.000
Ta1 0.500 0.500 0.500
Sn1 0.000 0.500 0.500
Sn2 0.500 0.000 0.500
Os1 0.500 0.500 0.000

Summary:
The calculation puts the formation energy at 1.30 eV per atom. As for the crystal system: tetragonal.

5.
A plane-wave DFT calculation with meta-GGA SCAN was carried out for SrHf3Os at its PBEsol-relaxed geometry.

Cell lengths 5.084, 5.084, 5.084 Å; angles 90.00, 90.00, 90.00 degrees
Atoms (fractional coordinates):
Sr1 0.000 0.000 0.000
Hf1 0.000 0.500 0.500
Hf2 0.500 0.000 0.500
Hf3 0.500 0.500 0.000
Os1 0.500 0.500 0.500

Summary:
The calculation puts the formation energy at 0.19 eV per atom. As for the crystal system: cubic.

6.
A plane-wave DFT calculation with meta-GGA SCAN was carried out for SrHf2Os at its PBEsol-relaxed geometry.

Cell lengths 4.838, 4.838, 4.838 Å; angles 60.00, 60.00, 60.00 degrees
Atoms (fractional coordinates):
Sr1 0.000 0.000 0.000
Hf1 0.250 0.250 0.250
Hf2 0.750 0.750 0.750
Os1 0.500 0.500 0.500

Summary:
The calculation puts the formation energy at 0.34 eV per atom. As for the crystal system: cubic.

7.
A plane-wave DFT calculation with meta-GGA SCAN was carried out for Hf2TcOs at its PBEsol-relaxed geometry.

Cell lengths 4.549, 4.549, 4.549 Å; angles 60.00, 60.00, 60.00 degrees
Atoms (fractional coordinates):
Hf1 0.250 0.250 0.250
Hf2 0.750 0.750 0.750
Tc1 0.000 0.000 0.000
Os1 0.500 0.500 0.500

Summary:
The calculation puts the formation energy at -0.79 eV per atom. As for the crystal system: cubic.

8.
A plane-wave DFT calculation with meta-GGA SCAN was carried out for HfTiOs3 at its PBEsol-relaxed geometry.

Cell lengths 4.667, 4.667, 4.667 Å; angles 90.00, 90.00, 90.00 degrees
Atoms (fractional coordinates):
Hf1 0.000 0.000 0.000
Ti1 0.500 0.500 0.500
Os1 0.000 0.000 0.500
Os2 0.000 0.500 0.000
Os3 0.500 0.000 0.000

Summary:
The calculation puts the formation energy at 1.95 eV per atom. As for the crystal system: cubic.

| no. | DOS at the Fermi energy (states/eV/atom) | volume (Å³/cell) |
| --- | --- | --- |
| 1 | 0.830 | 128.8 |
| 2 | 1.349 | 106.9 |
| 3 | 0.960 | 105.7 |
| 4 | 0.969 | 124.0 |
| 5 | 1.025 | 131.4 |
| 6 | 0.902 | 80.1 |
| 7 | 0.645 | 66.5 |
| 8 | 0.578 | 101.6 |